Below is crystalline SrAlSn2Au5 at its relaxed geometry, with properties calculated at the PBE level.

Structure (POSCAR):
```
SrAlSn2Au5
1.0
4.943 0.000 0.000
0.000 6.104 0.000
-2.472 -3.052 7.292
Sn Au Al Sr
2 5 1 1
Direct
0.807 0.807 0.614
0.193 0.193 0.386
0.641 0.404 0.281
0.000 0.000 0.000
0.641 0.878 0.281
0.359 0.122 0.719
0.359 0.596 0.719
0.500 0.000 0.000
0.000 0.500 0.000
```

The energy is -32.6 eV/cell. The value obtained for the formation energy is -0.3064 eV/atom.

=====

Below is crystalline Sr2Al4SnAu3 at its relaxed geometry, with properties calculated at the PBE level.

Structure (POSCAR):
```
Sr2Al4SnAu3
1.0
4.522 0.000 0.000
0.000 4.522 0.000
0.000 0.000 10.966
Au Sr Sn Al
3 2 1 4
Direct
0.000 0.000 0.500
0.000 0.500 0.123
0.500 0.000 0.877
0.000 0.500 0.755
0.500 0.000 0.245
0.500 0.500 0.500
0.000 0.500 0.355
0.500 0.000 0.645
0.000 0.000 0.000
0.500 0.500 0.000
```

The energy is -37.8 eV/cell. The value obtained for the formation energy is -0.5650 eV/atom.

=====

Below is crystalline Sr2AlSn2Au4 at its relaxed geometry, with properties calculated at the PBE level.

Structure (POSCAR):
```
Sr2AlSn2Au4
1.0
-1.345 3.793 -5.446
5.202 -4.327 -0.262
-4.353 -4.901 1.699
Sr Au Al Sn
2 4 1 2
Direct
0.500 0.250 0.750
0.500 0.750 0.250
0.000 0.740 0.260
0.479 0.740 0.740
0.521 0.260 0.260
0.000 0.260 0.740
0.000 0.000 0.000
0.000 0.318 0.318
0.000 0.682 0.682
```

The energy is -32.9 eV/cell. The value obtained for the formation energy is -0.5193 eV/atom.

=====

Below is crystalline AlTcSn2Au at its relaxed geometry, with properties calculated at the PBE level.

Structure (POSCAR):
```
AlTcSn2Au
1.0
-4.266 2.920 -0.670
-2.051 -3.717 -3.140
-2.208 -2.276 4.137
Al Tc Sn Au
1 1 2 1
Direct
0.500 0.500 0.500
0.000 0.500 0.000
0.000 0.000 0.500
0.500 0.000 0.000
0.000 0.000 0.000
```

The energy is -20.0 eV/cell. The value obtained for the formation energy is 1.0829 eV/atom.

=====

Below is crystalline Th2Al4SnAu3 at its relaxed geometry, with properties calculated at the PBE level.

Structure (POSCAR):
```
Th2Al4SnAu3
1.0
-0.044 1.373 -4.213
3.966 -1.866 -0.649
-4.774 -9.128 -2.925
Al Au Sn Th
4 3 1 2
Direct
0.000 0.000 0.000
0.000 0.500 0.355
0.500 0.000 0.645
0.500 0.500 0.000
0.000 0.000 0.500
0.500 0.000 0.874
0.000 0.500 0.126
0.500 0.500 0.500
0.000 0.500 0.754
0.500 0.000 0.246
```

The energy is -49.6 eV/cell. The value obtained for the formation energy is -0.5941 eV/atom.

=====

Below is crystalline SrAl2Au6 at its relaxed geometry, with properties calculated at the PBE level.

Structure (POSCAR):
```
SrAl2Au6
1.0
4.622 0.054 0.666
0.688 6.367 2.268
0.108 0.276 6.788
Au Al Sr
6 2 1
Direct
0.780 0.513 0.883
0.500 0.696 0.304
0.220 0.117 0.487
0.500 0.304 0.696
0.220 0.487 0.117
0.780 0.883 0.513
0.723 0.311 0.311
0.277 0.689 0.689
0.000 0.000 0.000
```

The value obtained for the energy above the lowest structure with this stoichiometry is 0.000 eV per atom. The energy is -32.3 eV/cell. The value obtained for the formation energy is -0.3804 eV/atom.

=====

Below is crystalline SrAlAu at its relaxed geometry, with properties calculated at the PBE level.

Structure (POSCAR):
```
SrAlAu
1.0
-4.437 2.161 0.110
-4.067 -2.741 0.557
-2.548 0.193 4.224
Au Al Sr
1 1 1
Direct
0.750 0.750 0.750
0.500 0.500 0.500
0.000 0.000 0.000
```

The energy is -9.6 eV/cell. The value obtained for the formation energy is -0.3133 eV/atom.

=====

Below is crystalline Sr2Al3Au2 at its relaxed geometry, with properties calculated at the PBE level.

Structure (POSCAR):
```
Sr2Al3Au2
1.0
4.322 0.000 0.000
-2.161 5.303 -2.518
0.000 -0.796 7.632
Au Sr Al
2 2 3
Direct
0.138 0.275 0.214
0.862 0.725 0.786
0.135 0.270 0.767
0.865 0.730 0.233
0.355 0.710 0.570
0.500 0.000 0.000
0.645 0.290 0.430
```

The energy is -24.7 eV/cell. The value obtained for the formation energy is -0.5139 eV/atom.

=====

Below is crystalline Sr3Al9Au2 at its relaxed geometry, with properties calculated at the PBE level.

Structure (POSCAR):
```
Sr3Al9Au2
1.0
-0.544 0.760 -4.430
5.324 -5.479 -3.908
-4.824 -6.505 -2.837
Al Au Sr
9 2 3
Direct
0.663 0.972 0.702
0.663 0.702 0.972
0.867 0.852 0.413
0.337 0.028 0.298
0.133 0.587 0.148
0.867 0.413 0.852
0.133 0.148 0.587
0.337 0.298 0.028
0.000 0.500 0.500
0.500 0.712 0.288
0.500 0.288 0.712
0.306 0.694 0.694
0.694 0.306 0.306
0.000 0.000 0.000
```

The energy is -50.1 eV/cell. The value obtained for the formation energy is -0.3414 eV/atom.

=====

Below is crystalline SrAl2Au9 at its relaxed geometry, with properties calculated at the PBE level.

Structure (POSCAR):
```
SrAl2Au9
1.0
-2.649 0.748 6.640
-2.615 -7.582 3.701
6.065 -0.677 6.386
Al Au Sr
4 18 2
Direct
0.875 0.250 0.750
0.875 0.750 0.250
0.875 0.250 0.250
0.375 0.750 0.750
0.609 0.078 0.319
0.744 0.819 0.578
0.141 0.181 0.422
0.072 0.319 0.922
0.609 0.319 0.078
0.436 0.819 0.422
0.750 0.500 0.500
0.314 0.078 0.681
0.678 0.181 0.578
0.678 0.578 0.181
0.436 0.422 0.819
0.006 0.681 0.922
0.141 0.422 0.181
0.000 0.000 0.000
0.072 0.922 0.319
0.314 0.681 0.078
0.744 0.578 0.819
0.006 0.922 0.681
0.250 0.500 0.500
0.500 0.000 0.000
```

The value obtained for the energy above the lowest structure with this stoichiometry is 0.000 eV per atom. The energy is -86.2 eV/cell. The value obtained for the formation energy is -0.3684 eV/atom.

=====

Below is crystalline SrAlAu at its relaxed geometry, with properties calculated at the PBE level.

Structure (POSCAR):
```
SrAlAu
1.0
-6.585 1.354 -1.403
-1.823 -2.524 6.121
0.691 6.241 2.779
Al Au Sr
4 4 4
Direct
0.837 0.837 0.837
0.337 0.663 0.163
0.663 0.163 0.337
0.163 0.337 0.663
0.422 0.422 0.422
0.078 0.578 0.922
0.578 0.922 0.078
0.922 0.078 0.578
0.358 0.858 0.642
0.642 0.358 0.858
0.858 0.642 0.358
0.142 0.142 0.142
```

The energy is -42.2 eV/cell. The value obtained for the formation energy is -0.6143 eV/atom.

=====

Below is crystalline Sr3Al5Au6 at its relaxed geometry, with properties calculated at the PBE level.

Structure (POSCAR):
```
Sr3Al5Au6
1.0
4.493 0.000 0.000
0.000 10.537 0.000
0.000 0.000 13.268
Al Au Sr
10 12 6
Direct
0.000 0.520 0.114
0.500 0.141 0.828
0.500 0.141 0.172
0.500 0.480 0.614
0.500 0.107 0.500
0.500 0.480 0.386
0.000 0.859 0.672
0.000 0.520 0.886
0.000 0.893 0.000
0.000 0.859 0.328
0.000 0.500 0.500
0.500 0.391 0.800
0.500 0.500 0.000
0.500 0.016 0.000
0.500 0.391 0.200
0.000 0.609 0.700
0.500 0.988 0.672
0.000 0.012 0.172
0.000 0.984 0.500
0.000 0.609 0.300
0.500 0.988 0.328
0.000 0.012 0.828
0.500 0.751 0.159
0.000 0.249 0.341
0.500 0.751 0.841
0.000 0.249 0.659
0.500 0.751 0.500
0.000 0.249 0.000
```

The energy is -102.3 eV/cell. The value obtained for the formation energy is -0.5525 eV/atom.

=====

Below is crystalline SrAlAu2 at its relaxed geometry, with properties calculated at the PBE level.

Structure (POSCAR):
```
SrAlAu2
1.0
-0.584 0.591 -3.669
3.649 -0.611 -0.679
-1.247 -6.506 -0.850
Al Au Sr
1 2 1
Direct
0.500 0.500 0.844
0.500 0.500 0.229
0.000 0.000 0.947
0.000 0.000 0.480
```

The energy is -13.7 eV/cell. The value obtained for the formation energy is -0.4195 eV/atom.

=====

Below is crystalline SrAl2Au2 at its relaxed geometry, with properties calculated at the PBE level.

Structure (POSCAR):
```
SrAl2Au2
1.0
4.631 0.000 0.000
0.000 4.631 0.000
2.315 2.315 5.181
Sr Al Au
1 2 2
Direct
0.000 0.000 0.000
0.369 0.369 0.262
0.631 0.631 0.738
0.250 0.750 0.500
0.750 0.250 0.500
```

The energy is -18.6 eV/cell. The value obtained for the formation energy is -0.5764 eV/atom.

=====

Below is crystalline SrAl2Au at its relaxed geometry, with properties calculated at the PBE level.

Structure (POSCAR):
```
SrAl2Au
1.0
-1.152 4.318 0.508
-0.652 -0.748 4.882
4.328 0.929 1.922
Au Sr Al
1 1 2
Direct
0.500 0.250 0.250
0.500 0.750 0.750
0.000 0.369 0.468
0.000 0.131 0.032
```

The energy is -13.8 eV/cell. The value obtained for the formation energy is -0.3316 eV/atom.

=====

Below is crystalline SrAl2Au2 at its relaxed geometry, with properties calculated at the PBE level.

Structure (POSCAR):
```
SrAl2Au2
1.0
-7.581 -1.873 2.158
-0.452 -5.256 -6.148
1.071 -2.230 1.827
Au Al Sr
4 4 2
Direct
0.170 0.670 0.500
0.670 0.830 0.500
0.330 0.170 0.500
0.830 0.330 0.500
0.123 0.377 0.000
0.377 0.877 0.000
0.623 0.123 0.000
0.877 0.623 0.000
0.500 0.500 0.000
0.000 0.000 0.000
```

The energy is -34.6 eV/cell. The value obtained for the formation energy is -0.3120 eV/atom.

=====

Below is crystalline SrAl2Au9 at its relaxed geometry, with properties calculated at the PBE level.

Structure (POSCAR):
```
SrAl2Au9
1.0
3.573 0.000 0.000
0.000 8.745 0.000
0.000 -4.372 7.573
Au Al Sr
9 2 1
Direct
0.500 0.809 0.191
0.000 0.500 0.000
0.500 0.809 0.617
0.500 0.191 0.383
0.500 0.617 0.809
0.500 0.191 0.809
0.000 0.500 0.500
0.000 0.000 0.500
0.500 0.383 0.191
0.000 0.333 0.667
0.000 0.667 0.333
0.000 0.000 0.000
```

The value obtained for the energy above the lowest structure with this stoichiometry is 0.106 eV per atom. The energy is -41.8 eV/cell. The value obtained for the formation energy is -0.2627 eV/atom.

=====

Below is crystalline Sr3Al4Au4 at its relaxed geometry, with properties calculated at the PBE level.

Structure (POSCAR):
```
Sr3Al4Au4
1.0
-3.977 5.542 1.556
-1.565 -5.279 4.317
6.749 1.692 0.736
Sr Au Al
3 4 4
Direct
0.000 0.500 0.500
0.500 0.000 0.500
0.500 0.500 0.000
0.380 0.380 0.380
0.000 0.000 0.620
0.000 0.620 0.000
0.620 0.000 0.000
0.000 0.259 0.000
0.000 0.000 0.259
0.259 0.000 0.000
0.741 0.741 0.741
```

The energy is -40.1 eV/cell. The value obtained for the formation energy is -0.6312 eV/atom.

=====

Below is crystalline SrAl2Au at its relaxed geometry, with properties calculated at the PBE level.

Structure (POSCAR):
```
SrAl2Au
1.0
-1.807 -1.616 -4.480
3.524 -3.673 -0.204
-3.233 0.831 4.430
Al Sr Au
2 1 1
Direct
0.959 0.041 0.000
0.234 0.766 0.500
0.748 0.252 0.500
0.558 0.442 0.000
```

The energy is -13.3 eV/cell. The value obtained for the formation energy is -0.2163 eV/atom.

=====

Below is crystalline SrAlAu4 at its relaxed geometry, with properties calculated at the PBE level.

Structure (POSCAR):
```
SrAlAu4
1.0
4.800 0.000 0.000
0.000 4.800 0.000
0.000 0.000 7.483
Au Al Sr
4 1 1
Direct
0.000 0.500 0.500
0.500 0.000 0.500
0.500 0.500 0.825
0.500 0.500 0.175
0.500 0.500 0.500
0.000 0.000 0.000
```

The value obtained for the energy above the lowest structure with this stoichiometry is 0.343 eV per atom. The energy is -19.4 eV/cell. The value obtained for the formation energy is -0.1402 eV/atom.

=====

Below is crystalline SrAlAu2 at its relaxed geometry, with properties calculated at the PBE level.

Structure (POSCAR):
```
SrAlAu2
1.0
-6.177 1.994 -3.326
-2.786 -0.362 -6.731
3.340 -3.150 5.668
Sr Al Au
1 1 2
Direct
0.551 0.551 0.000
0.783 0.283 0.500
0.921 0.921 0.000
0.246 0.746 0.500
```

The energy is -13.9 eV/cell. The value obtained for the formation energy is -0.4746 eV/atom.

=====

Below is crystalline SrAl2Au at its relaxed geometry, with properties calculated at the PBE level.

Structure (POSCAR):
```
SrAl2Au
1.0
-0.810 -2.540 -2.204
3.360 -0.525 -0.630
0.276 -4.935 5.585
Au Al Sr
1 2 1
Direct
0.000 0.000 0.432
0.500 0.500 0.268
0.000 0.000 0.059
0.500 0.500 0.741
```

The energy is -13.6 eV/cell. The value obtained for the formation energy is -0.2868 eV/atom.

=====

Below is crystalline SrAlAu2 at its relaxed geometry, with properties calculated at the PBE level.

Structure (POSCAR):
```
SrAlAu2
1.0
-4.259 3.111 -3.613
-0.629 -5.780 -4.235
-5.837 -2.702 4.555
Al Au Sr
4 8 4
Direct
0.647 0.250 0.367
0.853 0.250 0.867
0.353 0.750 0.633
0.147 0.750 0.133
0.917 0.053 0.176
0.417 0.553 0.324
0.917 0.447 0.176
0.583 0.447 0.676
0.083 0.553 0.824
0.083 0.947 0.824
0.417 0.947 0.324
0.583 0.053 0.676
0.851 0.750 0.480
0.649 0.750 0.980
0.149 0.250 0.520
0.351 0.250 0.020
```

The energy is -58.5 eV/cell. The value obtained for the formation energy is -0.6635 eV/atom.